Record 1
Compound: AgPtBr
Source: Alexandria
Functional: GGA-PBEsol
Structure: relaxed

- Distance to the lowest polymorph of the same formula: 145 meV per atom
- Fermi-level density of states: 2.44 states/eV/cell
- E_form (uncorrected): 511 meV/atom

abc: 4.4437 4.4437 4.4437
angles: 60.00 60.00 60.00
With the nearest neighbours (Å) after each atom.
Atoms (fractional coordinates):
Ag  0.0000  0.0000  0.0000  4 Pt 2.72
Pt  0.7500  0.7500  0.7500  4 Ag 2.72, 4 Br 2.72
Br  0.5000  0.5000  0.5000  4 Pt 2.72

Record 2
Compound: AgPtBr2
Source: Alexandria
Functional: GGA-PBEsol
Structure: relaxed

- Fermi-level density of states: 1.69 states/eV/cell
- E_form (uncorrected): 281 meV/atom

abc: 5.2607 5.2607 3.4284
angles: 106.75 106.75 96.64
With the nearest neighbours (Å) after each atom.
Atoms (fractional coordinates):
Ag  0.0000  0.0000  0.0000  4 Br 2.63
Pt  0.5000  0.5000  0.0000  4 Br 2.63
Br  0.0000  0.5000  0.0000  2 Pt 2.63, 2 Ag 2.63
Br  0.5000  0.0000  0.0000  2 Pt 2.63, 2 Ag 2.63

Record 3
Compound: AgPt3Br
Source: Alexandria
Functional: GGA-PBEsol
Structure: relaxed

- Fermi-level density of states: 1.19 states/eV/cell
- E_form (uncorrected): 1172 meV/atom

abc: 4.6443 4.6443 4.6443
angles: 90.00 90.00 90.00
With the nearest neighbours (Å) after each atom.
Atoms (fractional coordinates):
Ag  0.0000  0.0000  0.0000  12 Pt 3.28
Pt  0.0000  0.5000  0.5000  2 Br 2.32
Pt  0.5000  0.0000  0.5000  2 Br 2.32
Pt  0.5000  0.5000  0.0000  2 Br 2.32
Br  0.5000  0.5000  0.5000  6 Pt 2.32

Record 4
Compound: AgPtBr
Source: Alexandria
Functional: GGA-PBEsol
Structure: relaxed

- Distance to the lowest polymorph of the same formula: 0 meV per atom
- Fermi-level density of states: 2.37 states/eV/cell
- E_form (uncorrected): 366 meV/atom

abc: 3.2908 3.2908 5.9171
angles: 90.00 90.00 120.00
With the nearest neighbours (Å) after each atom.
Atoms (fractional coordinates):
Ag  0.0000  0.0000  0.0000  3 Pt 2.69, 3 Br 2.84
Pt  0.6667  0.3333  0.3226  3 Br 2.69, 3 Ag 2.69
Br  0.3333  0.6667  0.6433  3 Pt 2.69, 3 Ag 2.84

E / eV per atom: -3.538 -3.223 -4.042 -3.682